1.
The following is a DFT calculation (PBE) of CePm3Tl4 after structural relaxation.

Cell and atoms, written as extended XYZ:
```
8
Lattice="3.857 0.000 0.000 0.000 3.857 0.000 0.000 0.000 15.803" Properties=species:S:1:pos:R:3 pbc="T T T"
Tl 0.000 0.000 2.021
Pm 1.928 1.928 3.975
Pm 1.928 1.928 11.828
Tl 0.000 0.000 13.781
Pm 1.928 1.928 7.901
Tl 0.000 0.000 5.936
Ce 1.928 1.928 0.000
Tl 0.000 0.000 9.867
```

SG: P4/mmm (123)
E_form, eV/atom: -0.3423



2.
The following is a DFT calculation (PBE) of CePm2Tl4 after structural relaxation.

Cell and atoms, written as extended XYZ:
```
7
Lattice="-0.744 -3.705 -3.793 3.206 -3.365 2.658 -6.122 -2.757 3.894" Properties=species:S:1:pos:R:3 pbc="T T T"
Tl -2.871 -3.698 4.175
Tl -0.045 -2.425 2.377
Tl -2.020 -2.595 -0.849
Tl -4.846 -3.867 0.949
Ce 1.231 -3.535 -0.568
Pm 0.000 0.000 0.000
Pm -1.830 -4.914 1.379
```

SG: P4/mmm (123)
E_form, eV/atom: -0.1796



3.
The following is a DFT calculation (PBE) of CePm6Tl after structural relaxation.

Cell and atoms, written as extended XYZ:
```
8
Lattice="4.983 0.000 0.000 0.000 4.983 0.000 0.000 0.000 10.298" Properties=species:S:1:pos:R:3 pbc="T T T"
Ce 0.000 0.000 5.149
Tl 0.000 0.000 0.000
Pm 0.000 2.492 2.535
Pm 0.000 2.492 7.763
Pm 2.492 2.492 5.149
Pm 2.492 0.000 2.535
Pm 2.492 0.000 7.763
Pm 2.492 2.492 0.000
```

SG: P4/mmm (123)
E_form, eV/atom: -0.0506



4.
The following is a DFT calculation (PBE) of Ce2Pm2Tl3 after structural relaxation.

Cell and atoms, written as extended XYZ:
```
7
Lattice="3.589 0.000 0.000 0.000 7.978 -0.745 -1.794 -3.265 7.722" Properties=species:S:1:pos:R:3 pbc="T T T"
Ce 0.000 0.999 0.890
Pm 0.000 -1.306 5.516
Tl 0.000 3.989 -0.373
Ce 1.794 3.713 6.086
Tl 0.000 3.703 3.183
Pm 1.794 6.018 1.461
Tl 1.794 1.010 3.793
```

SG: C2/m (12)
E_form, eV/atom: -0.1209



5.
The following is a DFT calculation (PBE) of Ce2Pm3Tl3 after structural relaxation.

Cell and atoms, written as extended XYZ:
```
8
Lattice="4.542 0.000 0.000 0.000 4.922 0.000 -2.271 -2.461 10.491" Properties=species:S:1:pos:R:3 pbc="T T T"
Pm 2.271 0.000 0.000
Tl 0.000 0.000 2.694
Tl 0.000 2.461 0.000
Ce 2.271 0.000 5.119
Pm 2.271 2.461 2.525
Pm 0.000 0.000 7.966
Ce 0.000 2.461 5.371
Tl 2.271 2.461 7.797
```

SG: Immm (71)
E_form, eV/atom: -0.2309



6.
The following is a DFT calculation (PBE) of Ce2PmTl9 after structural relaxation.

Cell and atoms, written as extended XYZ:
```
12
Lattice="4.824 0.000 0.000 0.000 4.824 0.000 0.000 0.000 14.478" Properties=species:S:1:pos:R:3 pbc="T T T"
Tl 2.412 2.412 0.000
Tl 2.412 2.412 4.834
Tl 0.000 2.412 2.408
Tl 0.000 2.412 7.239
Ce 0.000 0.000 9.668
Tl 2.412 0.000 7.239
Tl 2.412 0.000 12.069
Tl 2.412 2.412 9.643
Tl 2.412 0.000 2.408
Pm 0.000 0.000 0.000
Ce 0.000 0.000 4.809
Tl 0.000 2.412 12.069
```

SG: P4/mmm (123)
E_form, eV/atom: -0.2638



7.
The following is a DFT calculation (PBE) of Ce5PmTl8 after structural relaxation.

Cell and atoms, written as extended XYZ:
```
14
Lattice="-5.065 -1.307 -6.378 7.722 0.867 -2.768 -0.350 -6.413 5.176" Properties=species:S:1:pos:R:3 pbc="T T T"
Ce -2.227 -1.770 -6.762
Tl 0.337 -2.590 -0.626
Tl 2.112 -1.417 -3.473
Tl -0.246 -6.064 -0.594
Pm 2.332 -4.703 0.904
Tl 4.951 -2.986 -0.065
Ce 0.827 -4.454 -3.285
Ce 2.231 -1.985 -6.728
Tl -2.203 -3.238 -3.807
Tl 5.117 0.224 -2.645
Ce -0.932 -0.391 -2.719
Tl -4.462 -5.704 -2.699
Ce -2.707 -3.860 -0.601
Tl 3.622 -5.636 -1.969
```

SG: I-4 (82)
E_form, eV/atom: -0.1656



8.
The following is a DFT calculation (PBE) of Ce3Pm2Tl4 after structural relaxation.

Cell and atoms, written as extended XYZ:
```
9
Lattice="5.203 -0.005 -0.046 2.587 4.905 0.798 -0.093 -0.864 10.090" Properties=species:S:1:pos:R:3 pbc="T T T"
Tl 0.100 -0.070 3.481
Ce 0.000 0.000 0.000
Tl 5.079 2.392 9.470
Ce 2.742 1.545 4.749
Pm 5.238 3.249 2.739
Tl 2.619 1.644 1.372
Pm 2.460 0.787 8.103
Tl 7.598 4.106 7.360
Ce 4.956 2.491 6.093
```

SG: P-1 (2)
E_form, eV/atom: -0.2347



9.
The following is a DFT calculation (PBE) of Ce2Pm3Tl4 after structural relaxation.

Cell and atoms, written as extended XYZ:
```
18
Lattice="-1.954 -1.291 -7.102 8.177 -5.706 -1.213 -2.973 -5.484 5.752" Properties=species:S:1:pos:R:3 pbc="T T T"
Ce 6.473 -7.450 -4.364
Tl 0.567 -2.412 -5.623
Ce -0.138 -8.511 -2.352
Pm 3.664 -7.675 -1.582
Pm 4.641 -7.029 1.969
Ce -3.224 -5.030 1.801
Tl 6.596 -8.150 -0.334
Tl 2.682 -10.067 3.060
Pm 0.000 0.000 0.000
Ce 3.387 -3.969 -0.211
Pm -1.391 -5.450 -4.532
Tl 1.544 -1.767 -2.072
Pm -0.414 -4.805 -0.981
Pm 3.111 -3.498 -4.157
Tl -3.346 -4.330 -2.229
Tl 1.711 -6.532 0.716
Tl 1.705 -10.713 -0.491
Tl 1.538 -5.948 -3.279
```

SG: Cmce (64)
E_form, eV/atom: -0.1714



10.
The following is a DFT calculation (PBE) of CePm6Tl3 after structural relaxation.

Cell and atoms, written as extended XYZ:
```
20
Lattice="5.539 0.000 0.000 0.000 9.027 -3.235 0.000 -0.187 12.140" Properties=species:S:1:pos:R:3 pbc="T T T"
Pm 1.385 5.696 6.128
Pm 4.154 4.627 9.340
Tl 4.154 3.955 6.026
Pm 1.385 4.213 -0.434
Pm 1.385 2.185 5.166
Tl 4.154 2.058 -0.388
Tl 1.385 3.096 8.328
Pm 1.385 1.216 1.476
Pm 4.154 3.144 2.777
Ce 1.385 8.413 3.795
Pm 4.154 8.179 -1.469
Pm 1.385 0.660 10.374
Pm 4.154 1.218 8.086
Pm 1.385 7.621 0.819
Pm 4.154 6.655 3.740
Tl 1.385 6.781 9.294
Tl 1.385 4.884 2.879
Pm 4.154 7.623 7.429
Ce 4.154 0.427 5.111
Tl 4.154 5.743 0.578
```

SG: P2_1/m (11)
E_form, eV/atom: -0.1718



11.
The following is a DFT calculation (PBE) of CePm2Tl3 after structural relaxation.

Cell and atoms, written as extended XYZ:
```
6
Lattice="3.660 0.000 0.000 0.000 3.660 0.000 0.000 0.000 13.056" Properties=species:S:1:pos:R:3 pbc="T T T"
Pm 1.830 1.830 10.904
Pm 1.830 1.830 2.152
Tl 0.000 0.000 4.333
Tl 0.000 0.000 8.723
Ce 1.830 1.830 6.528
Tl 0.000 0.000 0.000
```

SG: P4/mmm (123)
E_form, eV/atom: -0.3340



12.
The following is a DFT calculation (PBE) of CePm3Tl3 after structural relaxation.

Cell and atoms, written as extended XYZ:
```
14
Lattice="5.349 0.000 0.000 0.000 9.662 0.000 0.000 -4.831 8.367" Properties=species:S:1:pos:R:3 pbc="T T T"
Pm 4.012 -1.141 1.996
Ce 1.337 4.831 2.789
Pm 4.012 -2.532 8.358
Tl 1.337 -1.482 3.783
Tl 1.337 -0.814 7.759
Tl 1.337 2.295 5.193
Pm 1.337 5.972 6.371
Tl 4.012 6.313 4.584
Pm 4.012 3.673 6.381
Pm 1.337 1.158 1.986
Ce 4.012 0.000 5.578
Tl 4.012 2.536 3.175
Tl 4.012 5.645 0.609
Pm 1.337 7.363 0.010
```

SG: P6_3/m (176)
E_form, eV/atom: -0.1945